Record 1
VASP calculation (GGA-PBE) on a relaxed structure of TeAu17.

- Total energy: -115.31 eV/cell
- Crystal system: trigonal
- Volume: 909.2 Å³ per cell

CIF file:
```
data_TeAu17
_space_group_name_H-M_alt 'P -3 m 1'
_space_group_IT_number 164
_space_group_name_Hall '-P 3 2"'
_cell_length_a 5.7791
_cell_length_b 5.7791
_cell_length_c 31.4344
_cell_angle_alpha 90.00
_cell_angle_beta 90.00
_cell_angle_gamma 120.00
loop_
_atom_site_label
_atom_site_type_symbol
_atom_site_fract_x
_atom_site_fract_y
_atom_site_fract_z
Te1 Te 0.3333 0.6667 0.3355
Au1 Au 0.0000 0.0000 0.0000
Au2 Au 0.0000 0.0000 0.2338
Au3 Au 0.0000 0.5000 0.0000
Au4 Au 0.0019 0.5010 0.2334
Au5 Au 0.1667 0.3333 0.1553
Au6 Au 0.1667 0.3333 0.9224
Au7 Au 0.1671 0.3342 0.6875
Au8 Au 0.3333 0.6667 0.0774
Au9 Au 0.3333 0.6667 0.8451
```

=====

Record 2
VASP calculation (GGA-PBE) on a relaxed structure of TeAu15.

- Total energy: -102.79 eV/cell
- Crystal system: monoclinic
- Volume: 731.7 Å³ per cell

CIF file:
```
data_TeAu15
_space_group_name_H-M_alt 'P 1 21/m 1'
_space_group_IT_number 11
_cell_length_a 5.7336
_cell_length_b 2.9099
_cell_length_c 43.8574
_cell_angle_alpha 90.00
_cell_angle_beta 90.02
_cell_angle_gamma 90.00
loop_
_space_group_symop_operation_xyz
'x,y,z'
'-x,-y,-z'
'-x,y+1/2,-z'
'x,-y+1/2,z'
loop_
_atom_site_label
_atom_site_type_symbol
_atom_site_fract_x
_atom_site_fract_y
_atom_site_fract_z
Te1 Te 0.1262 0.2500 0.1213
Au1 Au 0.1244 0.2500 0.2330
Au2 Au 0.1235 0.2500 0.8154
Au3 Au 0.1250 0.2500 0.3303
Au4 Au 0.1250 0.2500 0.4273
Au5 Au 0.1251 0.2500 0.5242
Au6 Au 0.1248 0.2500 0.6212
Au7 Au 0.1250 0.2500 0.7182
Au8 Au 0.3709 0.7500 0.1844
Au9 Au 0.3741 0.7500 0.8639
Au10 Au 0.3745 0.7500 0.2818
Au11 Au 0.3747 0.7500 0.3788
Au12 Au 0.3751 0.7500 0.4757
Au13 Au 0.3750 0.7500 0.5728
Au14 Au 0.3750 0.7500 0.6696
Au15 Au 0.3760 0.7500 0.7666
```

=====

Record 3
VASP calculation (GGA-PBE) on a relaxed structure of TeAu.

- Total energy: -25.69 eV/cell
- Crystal system: cubic
- Volume: 240.9 Å³ per cell

CIF file:
```
data_TeAu
_space_group_name_H-M_alt 'F -4 3 m'
_space_group_IT_number 216
_space_group_name_Hall 'F -4 2 3'
_cell_length_a 6.2226
_cell_length_b 6.2226
_cell_length_c 6.2226
_cell_angle_alpha 90.00
_cell_angle_beta 90.00
_cell_angle_gamma 90.00
loop_
_atom_site_label
_atom_site_type_symbol
_atom_site_fract_x
_atom_site_fract_y
_atom_site_fract_z
Te1 Te 0.0000 0.0000 0.0000
Au1 Au 0.2500 0.2500 0.2500
```

=====

Question: The highest volume belongs to which entry?
Answer: TeAu17

=====

Question: Number 1 is which compound?
Answer: TeAu17

=====

Question: volume of number 2 (TeAu15)?
Answer: 731.7 Å³ per cell

=====

Question: What is the total energy in the second record?
Answer: -102.79 eV/cell